Run 1
First-principles (GGA-PBE) data for PmDy5Y after structural relaxation, as listed in the Alexandria database.

Results
density = 7.66 g/cm³

```
14
Lattice="-2.002 0.611 6.431 0.561 -5.242 4.236 9.582 0.531 9.776" Properties=species:S:1:pos:R:3 pbc="T T T"
Dy 3.865 -2.943 12.010
Dy 0.806 -0.200 8.521
Dy 4.275 -1.157 8.433
Dy 6.420 -3.624 14.753
Dy -0.429 -1.622 3.470
Dy 7.334 -3.901 11.922
Dy 8.569 -2.479 16.973
Dy 1.721 -0.477 5.690
Dy 7.105 -1.567 10.070
Dy 1.035 -2.533 10.373
Y 4.791 0.265 4.888
Y 0.000 0.000 0.000
Pm 2.242 -3.477 7.292
Pm 5.899 -0.623 13.151
```

Run 2
First-principles (GGA-PBE) data for PmDy5Y after structural relaxation, as listed in the Alexandria database.

Results
density = 5.84 g/cm³

```
7
Lattice="5.788 0.000 0.000 2.894 7.338 0.515 2.894 1.819 7.128" Properties=species:S:1:pos:R:3 pbc="T T T"
Dy 5.788 2.339 1.953
Dy 2.894 4.579 3.821
Dy 5.788 6.818 5.690
Dy 5.788 2.801 5.951
Dy 5.788 6.356 1.691
Y 0.000 0.000 0.000
Pm 5.788 4.579 3.821
```

Most stable of them? run 1.

Run 1
First-principles (GGA-PBE) data for Pm5DyY3 after structural relaxation, as listed in the Alexandria database.

Results
density = 5.60 g/cm³

```
18
Lattice="9.446 -0.184 1.841 2.408 9.135 1.841 5.464 4.125 9.586" Properties=species:S:1:pos:R:3 pbc="T T T"
Pm 7.103 9.052 8.624
Pm 14.948 11.287 12.164
Pm 7.663 2.176 1.841
Pm 4.191 6.774 1.841
Pm 10.215 4.025 4.644
Pm 6.667 8.723 4.644
Pm 7.119 5.376 4.079
Pm 10.650 4.354 8.624
Pm 2.369 1.789 1.104
Pm 10.198 7.701 9.189
Dy 5.080 3.836 6.256
Dy 12.238 9.241 7.012
Y 4.710 3.556 2.844
Y 12.608 9.520 10.424
Y 2.732 2.063 4.793
Y 7.540 5.693 7.443
Y 0.000 0.000 0.000
Y 9.778 7.383 5.825
```

Run 2
First-principles (GGA-PBE) data for Pm5DyY3 after structural relaxation, as listed in the Alexandria database.

Results
density = 6.29 g/cm³

```
18
Lattice="4.444 -10.449 -4.413 6.213 -5.625 -8.842 10.523 -4.873 -1.107" Properties=species:S:1:pos:R:3 pbc="T T T"
Pm 15.233 -13.833 -9.020
Pm 19.140 -18.604 -11.686
Pm 11.220 -9.520 -5.924
Pm 7.632 -10.148 -6.085
Pm 14.197 -15.296 -11.933
Pm 9.960 -11.427 -8.438
Pm 13.548 -10.799 -8.278
Pm 6.983 -5.651 -2.429
Pm 5.947 -7.114 -5.342
Pm 2.041 -2.343 -2.676
Y 17.437 -15.754 -11.223
Y 9.353 -6.680 -4.566
Y 5.262 -2.437 -0.553
Y 3.743 -5.194 -3.139
Y 0.000 0.000 0.000
Y 11.827 -14.268 -9.797
Dy 12.758 -12.954 -6.299
Dy 8.422 -7.993 -8.063
```

Most stable of them? run 2.

Run 1
First-principles (GGA-PBE) data for Pm2Dy3Y5 after structural relaxation, as listed in the Alexandria database.

Results
density = 6.11 g/cm³

```
20
Lattice="8.377 1.512 -3.875 0.248 8.476 -3.966 -1.670 -1.818 10.874" Properties=species:S:1:pos:R:3 pbc="T T T"
Y 6.209 5.201 2.425
Y 4.595 3.382 5.610
Y 7.495 2.590 0.282
Y 2.002 0.389 6.221
Y -0.539 5.580 2.751
Y 3.543 2.119 2.843
Y 2.361 4.787 -2.576
Y 0.747 2.969 0.609
Y 3.413 6.051 0.191
Y 4.953 7.781 -3.188
Dy 5.796 4.621 -2.018
Dy 1.160 3.549 5.052
Dy -0.070 6.161 -0.492
Dy 0.540 6.877 5.591
Dy 7.025 2.009 3.526
Dy 6.415 1.293 -2.558
Pm 2.898 5.559 3.424
Pm 1.696 8.204 -2.048
Pm 4.057 2.611 -0.391
Pm 5.260 -0.034 5.081
```

Run 2
First-principles (GGA-PBE) data for Pm2Dy3Y5 after structural relaxation, as listed in the Alexandria database.

Results
density = 5.81 g/cm³

```
20
Lattice="-3.073 -4.649 -3.946 -6.341 -7.353 7.692 -11.706 -0.668 3.994" Properties=species:S:1:pos:R:3 pbc="T T T"
Y -6.620 -4.183 4.175
Y -6.002 -4.319 0.901
Y -15.117 -8.350 6.839
Y -11.328 -7.497 2.884
Y -11.993 -7.371 6.207
Y -4.466 -1.995 2.874
Y -16.653 -10.675 4.866
Y -9.127 -5.299 1.533
Y -9.792 -5.173 4.857
Y -14.499 -8.487 3.565
Pm -17.242 -10.608 8.199
Pm -16.779 -6.946 9.433
Pm -3.877 -2.062 -0.459
Pm -4.340 -5.724 -1.692
Dy -2.305 -3.487 -2.960
Dy -8.516 -1.922 2.987
Dy -13.752 -5.079 4.876
Dy -7.368 -7.590 2.864
Dy -0.768 -1.162 -0.987
Dy -12.604 -10.748 4.753
```

Most stable of them? run 1.